DFT (PBE) results for a relaxed Dy2ZrTc crystal.

Results
Total DFT energy (no corrections) ... -6.648 eV per atom
Space group ... R-3m (166)
Energy of formation ... 0.3819 eV/atom
V ... 98.5 Å³/cell

a = 3.2699 Å, b = 3.2699 Å, c = 10.8062 Å
α = 81.30°, β = 81.30°, γ = 60.00°
With the nearest neighbours (Å) after each atom.
Positions (direct):
1 Tc 0.5000 0.5000 0.5000  6 Dy 2.83
2 Zr 0.0000 0.0000 0.0000  2 Dy 3.22, 6 Zr 3.27
3 Dy 0.1008 0.1008 0.6976  3 Tc 2.83
4 Dy 0.8992 0.8992 0.3024  3 Tc 2.83